# 1
CaTa2Be: PBEsol geometry, SCAN.

Computed properties:
DFT formation energy: 0.39 eV per atom
total DFT energy (no corrections): -36.403 eV/atom
space-group type: Pmm2, No. 25
theoretical density: 9.0 g/cm³

Cell lengths 2.8995, 3.5637, 7.3209 Å; angles 90.00, 90.00, 90.00 degrees
Fractional coordinates of all 4 atoms:
1 Ca 0.0000 0.0000 0.0000
2 Ta 0.0000 0.0000 0.5649
3 Ta 0.5000 0.5000 0.3409
4 Be 0.5000 0.5000 0.7200

# 2
CaTa2Be: PBEsol geometry, SCAN.

Computed properties:
DFT formation energy: 0.82 eV per atom
total DFT energy (no corrections): -35.979 eV/atom
space-group type: I4/mmm, No. 139
theoretical density: 9.5 g/cm³

Cell lengths 5.3386, 5.3386, 5.3386 Å; angles 136.16, 136.16, 63.73 degrees
Fractional coordinates of all 4 atoms:
1 Ca 0.0000 0.0000 0.0000
2 Ta 0.2500 0.7500 0.5000
3 Ta 0.7500 0.2500 0.5000
4 Be 0.5000 0.5000 0.0000

# 3
CaTaBe2: PBEsol geometry, SCAN.

Computed properties:
DFT formation energy: 0.60 eV per atom
total DFT energy (no corrections): -20.643 eV/atom
space-group type: C2/m, No. 12
theoretical density: 5.7 g/cm³

Cell lengths 4.4593, 4.4593, 5.9844 Å; angles 97.78, 97.78, 36.42 degrees
Fractional coordinates of all 4 atoms:
1 Ca 0.0000 0.0000 0.0000
2 Ta 0.5000 0.5000 0.5000
3 Be 0.2466 0.2466 0.6564
4 Be 0.7534 0.7534 0.3436

# 4
CaTa2Be: PBEsol geometry, SCAN.

Computed properties:
DFT formation energy: 0.78 eV per atom
total DFT energy (no corrections): -36.014 eV/atom
space-group type: I-4m2, No. 119
theoretical density: 9.7 g/cm³

Cell lengths 5.0145, 5.0145, 5.0145 Å; angles 130.87, 130.87, 72.01 degrees
Fractional coordinates of all 4 atoms:
1 Ca 0.0000 0.0000 0.0000
2 Ta 0.5000 0.5000 0.0000
3 Ta 0.7500 0.2500 0.5000
4 Be 0.2500 0.7500 0.5000

# 5
CaTaBe2: PBEsol geometry, SCAN.

Computed properties:
DFT formation energy: 0.46 eV per atom
total DFT energy (no corrections): -20.776 eV/atom
space-group type: Imm2, No. 44
theoretical density: 5.9 g/cm³

Cell lengths 5.9846, 5.9846, 5.9846 Å; angles 150.08, 141.00, 49.92 degrees
Fractional coordinates of all 4 atoms:
1 Ca 0.0000 0.0000 0.0000
2 Ta 0.2683 0.7683 0.5000
3 Be 0.6274 0.6274 0.0000
4 Be 0.7577 0.2577 0.5000

# 6
Ca2TaBe: PBEsol geometry, SCAN.

Computed properties:
DFT formation energy: 0.63 eV per atom
total DFT energy (no corrections): -21.936 eV/atom
space-group type: Imm2, No. 44
theoretical density: 5.0 g/cm³

Cell lengths 6.2405, 6.2405, 6.2405 Å; angles 150.82, 130.65, 58.36 degrees
Fractional coordinates of all 4 atoms:
1 Ca 0.0000 0.0000 0.0000
2 Ca 0.7047 0.2047 0.5000
3 Ta 0.2981 0.7981 0.5000
4 Be 0.4678 0.4678 0.0000

# 7
CaBe2Tc: PBEsol geometry, SCAN.

Computed properties:
DFT formation energy: 0.51 eV per atom
total DFT energy (no corrections): -12.845 eV/atom
space-group type: Fm-3m, No. 225
theoretical density: 4.6 g/cm³

Cell lengths 4.2927, 4.2927, 4.2927 Å; angles 60.00, 60.00, 60.00 degrees
Fractional coordinates of all 4 atoms:
1 Ca 0.0000 0.0000 0.0000
2 Be 0.2500 0.2500 0.2500
3 Be 0.7500 0.7500 0.7500
4 Tc 0.5000 0.5000 0.5000

# 8
CaBe2Tc: PBEsol geometry, SCAN.

Computed properties:
DFT formation energy: 0.32 eV per atom
total DFT energy (no corrections): -13.042 eV/atom
space-group type: C2/m, No. 12
theoretical density: 4.4 g/cm³

Cell lengths 4.3240, 4.3240, 5.6335 Å; angles 95.12, 95.12, 34.48 degrees
Fractional coordinates of all 4 atoms:
1 Ca 0.0000 0.0000 0.0000
2 Be 0.2392 0.2392 0.6560
3 Be 0.7608 0.7608 0.3440
4 Tc 0.5000 0.5000 0.5000

# 9
Ca2BeTc: PBEsol geometry, SCAN.

Computed properties:
DFT formation energy: 0.76 eV per atom
total DFT energy (no corrections): -13.929 eV/atom
space-group type: Pmmm, No. 47
theoretical density: 3.9 g/cm³

Cell lengths 2.8800, 3.5577, 7.7278 Å; angles 90.00, 90.00, 90.00 degrees
Fractional coordinates of all 4 atoms:
1 Ca 0.0000 0.0000 0.2478
2 Ca 0.0000 0.0000 0.7522
3 Be 0.5000 0.5000 0.0000
4 Tc 0.5000 0.5000 0.5000

# 10
Ca4BeTc: PBEsol geometry, SCAN.

Computed properties:
DFT formation energy: 1.28 eV per atom
total DFT energy (no corrections): -11.735 eV/atom
space-group type: F-43m, No. 216
theoretical density: 2.9 g/cm³

Cell lengths 6.0129, 6.0129, 6.0129 Å; angles 60.00, 60.00, 60.00 degrees
Fractional coordinates of all 6 atoms:
1 Ca 0.1242 0.1242 0.1242
2 Ca 0.1242 0.1242 0.6274
3 Ca 0.1242 0.6274 0.1242
4 Ca 0.6274 0.1242 0.1242
5 Be 0.5000 0.5000 0.5000
6 Tc 0.7500 0.7500 0.7500

# 11
CaBeTc: PBEsol geometry, SCAN.

Computed properties:
DFT formation energy: 0.55 eV per atom
total DFT energy (no corrections): -15.805 eV/atom
space-group type: P3m1, No. 156
theoretical density: 4.5 g/cm³

Cell lengths 3.8579, 3.8579, 4.1933 Å; angles 90.00, 90.00, 120.00 degrees
Fractional coordinates of all 3 atoms:
1 Ca 0.0000 0.0000 0.0000
2 Be 0.6667 0.3333 0.4513
3 Tc 0.3333 0.6667 0.5207

# 12
CaBeTc2: PBEsol geometry, SCAN.

Computed properties:
DFT formation energy: 0.10 eV per atom
total DFT energy (no corrections): -20.930 eV/atom
space-group type: P4mm, No. 99
theoretical density: 6.4 g/cm³

Cell lengths 3.0340, 3.0340, 6.9061 Å; angles 90.00, 90.00, 90.00 degrees
Fractional coordinates of all 4 atoms:
1 Ca 0.0000 0.0000 0.0000
2 Be 0.5000 0.5000 0.6843
3 Tc 0.0000 0.0000 0.5231
4 Tc 0.5000 0.5000 0.3224

# 13
Ca2BeTc: PBEsol geometry, SCAN.

Computed properties:
DFT formation energy: 0.74 eV per atom
total DFT energy (no corrections): -13.943 eV/atom
space-group type: I-4m2, No. 119
theoretical density: 4.1 g/cm³

Cell lengths 5.0579, 5.0579, 5.0579 Å; angles 129.40, 129.40, 74.36 degrees
Fractional coordinates of all 4 atoms:
1 Ca 0.0000 0.0000 0.0000
2 Ca 0.7500 0.2500 0.5000
3 Be 0.2500 0.7500 0.5000
4 Tc 0.5000 0.5000 0.0000

# 14
Ca2BeTc: PBEsol geometry, SCAN.

Computed properties:
DFT formation energy: 0.25 eV per atom
total DFT energy (no corrections): -14.432 eV/atom
space-group type: P4mm, No. 99
theoretical density: 3.7 g/cm³

Cell lengths 3.2308, 3.2308, 8.1075 Å; angles 90.00, 90.00, 90.00 degrees
Fractional coordinates of all 4 atoms:
1 Ca 0.0000 0.0000 0.0000
2 Ca 0.5000 0.5000 0.4077
3 Be 0.5000 0.5000 0.7404
4 Tc 0.0000 0.0000 0.6660

# 15
CaBeTe2: PBEsol geometry, SCAN.

Computed properties:
total DFT energy (no corrections): -23.032 eV/atom
space-group type: Cm, No. 8
theoretical density: 4.4 g/cm³

Cell lengths 6.5586, 6.5586, 4.5515 Å; angles 93.18, 93.18, 35.60 degrees
Fractional coordinates of all 4 atoms:
1 Ca 0.0000 0.0000 0.0000
2 Be 0.7231 0.7231 0.7780
3 Te 0.2887 0.2887 0.0064
4 Te 0.5591 0.5591 0.5098

# 16
Ca2BeTe: PBEsol geometry, SCAN.

Computed properties:
total DFT energy (no corrections): -15.653 eV/atom
space-group type: C2/m, No. 12
theoretical density: 3.1 g/cm³

Cell lengths 4.3036, 4.3036, 7.6199 Å; angles 106.20, 106.20, 59.73 degrees
Fractional coordinates of all 4 atoms:
1 Ca 0.2476 0.2476 0.2416
2 Ca 0.7524 0.7524 0.7584
3 Be 0.5000 0.5000 0.0000
4 Te 0.0000 0.0000 0.5000

# 17
CaBeTe2: PBEsol geometry, SCAN.

Computed properties:
total DFT energy (no corrections): -22.627 eV/atom
space-group type: Imm2, No. 44
theoretical density: 5.0 g/cm³

Cell lengths 7.4039, 7.4039, 7.4039 Å; angles 151.20, 148.54, 43.17 degrees
Fractional coordinates of all 4 atoms:
1 Ca 0.0000 0.0000 0.0000
2 Be 0.7466 0.2466 0.5000
3 Te 0.3285 0.8285 0.5000
4 Te 0.6132 0.6132 0.0000

# 18
CaBeTe: PBEsol geometry, SCAN.

Computed properties:
total DFT energy (no corrections): -17.104 eV/atom
space-group type: F-43m, No. 216
theoretical density: 3.4 g/cm³

Cell lengths 4.9482, 4.9482, 4.9482 Å; angles 60.00, 60.00, 60.00 degrees
Fractional coordinates of all 3 atoms:
1 Ca 0.0000 0.0000 0.0000
2 Be 0.2500 0.2500 0.2500
3 Te 0.7500 0.7500 0.7500

# 19
CaBeTe3: PBEsol geometry, SCAN.

Computed properties:
total DFT energy (no corrections): -24.475 eV/atom
space-group type: Pm-3m, No. 221
theoretical density: 3.9 g/cm³

Cell lengths 5.6859, 5.6859, 5.6859 Å; angles 90.00, 90.00, 90.00 degrees
Fractional coordinates of all 5 atoms:
1 Ca 0.0000 0.0000 0.0000
2 Be 0.5000 0.5000 0.5000
3 Te 0.0000 0.0000 0.5000
4 Te 0.0000 0.5000 0.0000
5 Te 0.5000 0.0000 0.0000

# 20
CaBeTe2: PBEsol geometry, SCAN.

Computed properties:
total DFT energy (no corrections): -22.826 eV/atom
space-group type: R3m, No. 160
theoretical density: 5.1 g/cm³

Cell lengths 7.4520, 7.4520, 7.4520 Å; angles 31.16, 31.16, 31.16 degrees
Fractional coordinates of all 4 atoms:
1 Ca 0.0000 0.0000 0.0000
2 Be 0.8333 0.8333 0.8333
3 Te 0.2359 0.2359 0.2359
4 Te 0.4352 0.4352 0.4352

# 21
CaBe2Te: PBEsol geometry, SCAN.

Computed properties:
total DFT energy (no corrections): -14.004 eV/atom
space-group type: Cm, No. 8
theoretical density: 3.9 g/cm³

Cell lengths 4.1609, 4.1609, 5.8960 Å; angles 103.94, 103.94, 54.35 degrees
Fractional coordinates of all 4 atoms:
1 Ca 0.0000 0.0000 0.0000
2 Be 0.2808 0.2808 0.6713
3 Be 0.5860 0.5860 0.6780
4 Te 0.7700 0.7700 0.3934

# 22
Ca2BeTe: PBEsol geometry, SCAN.

Computed properties:
total DFT energy (no corrections): -15.470 eV/atom
space-group type: I-42d, No. 122
theoretical density: 3.2 g/cm³

Cell lengths 6.6675, 6.6675, 6.6675 Å; angles 106.69, 106.69, 115.20 degrees
Fractional coordinates of all 8 atoms:
1 Ca 0.1058 0.1250 0.4808
2 Ca 0.3750 0.8942 0.0192
3 Ca 0.6442 0.6250 0.5192
4 Ca 0.8750 0.3558 0.9808
5 Be 0.0000 0.0000 0.0000
6 Be 0.7500 0.2500 0.5000
7 Te 0.2500 0.7500 0.5000
8 Te 0.5000 0.5000 0.0000

# 23
Ca2BeTe: PBEsol geometry, SCAN.

Computed properties:
total DFT energy (no corrections): -15.585 eV/atom
space-group type: Imm2, No. 44
theoretical density: 3.6 g/cm³

Cell lengths 6.3558, 6.3558, 6.3558 Å; angles 145.42, 136.36, 56.84 degrees
Fractional coordinates of all 4 atoms:
1 Ca 0.0000 0.0000 0.0000
2 Ca 0.7211 0.2211 0.5000
3 Be 0.2621 0.7621 0.5000
4 Te 0.4211 0.4211 0.0000

# 24
Ca2BeTe: PBEsol geometry, SCAN.

Computed properties:
total DFT energy (no corrections): -15.609 eV/atom
space-group type: P4/mmm, No. 123
theoretical density: 3.1 g/cm³

Cell lengths 4.3437, 4.3437, 6.1857 Å; angles 90.00, 90.00, 90.00 degrees
Fractional coordinates of all 4 atoms:
1 Ca 0.0000 0.0000 0.0000
2 Ca 0.5000 0.5000 0.5000
3 Be 0.0000 0.0000 0.5000
4 Te 0.5000 0.5000 0.0000

# 25
CaBeTe2: PBEsol geometry, SCAN.

Computed properties:
total DFT energy (no corrections): -22.851 eV/atom
space-group type: R-3m, No. 166
theoretical density: 5.1 g/cm³

Cell lengths 7.3568, 7.3568, 7.3568 Å; angles 31.90, 31.90, 31.90 degrees
Fractional coordinates of all 4 atoms:
1 Ca 0.0000 0.0000 0.0000
2 Be 0.5000 0.5000 0.5000
3 Te 0.2346 0.2346 0.2346
4 Te 0.7654 0.7654 0.7654

# 26
CaTiBe3: PBEsol geometry, SCAN.

Computed properties:
DFT formation energy: 1.98 eV per atom
total DFT energy (no corrections): -5.773 eV/atom
space-group type: Pm-3m, No. 221
theoretical density: 2.2 g/cm³

Cell lengths 4.4023, 4.4023, 4.4023 Å; angles 90.00, 90.00, 90.00 degrees
Fractional coordinates of all 5 atoms:
1 Ca 0.0000 0.0000 0.0000
2 Ti 0.5000 0.5000 0.5000
3 Be 0.0000 0.0000 0.5000
4 Be 0.0000 0.5000 0.0000
5 Be 0.5000 0.0000 0.0000

# 27
CaBe2Tl: PBEsol geometry, SCAN.

Computed properties:
DFT formation energy: 0.31 eV per atom
total DFT energy (no corrections): -22.373 eV/atom
space-group type: Fm-3m, No. 225
theoretical density: 6.5 g/cm³

Cell lengths 4.5606, 4.5606, 4.5606 Å; angles 60.00, 60.00, 60.00 degrees
Fractional coordinates of all 4 atoms:
1 Ca 0.0000 0.0000 0.0000
2 Be 0.2500 0.2500 0.2500
3 Be 0.7500 0.7500 0.7500
4 Tl 0.5000 0.5000 0.5000

# 28
CaBe2Tl: PBEsol geometry, SCAN.

Computed properties:
DFT formation energy: 0.24 eV per atom
total DFT energy (no corrections): -22.444 eV/atom
space-group type: I4_1/amd, No. 141
theoretical density: 5.1 g/cm³

Cell lengths 8.9454, 8.9454, 8.9454 Å; angles 150.83, 150.83, 41.72 degrees
Fractional coordinates of all 8 atoms:
1 Ca 0.3750 0.6250 0.7500
2 Ca 0.6250 0.3750 0.2500
3 Be 0.0000 0.0000 0.0000
4 Be 0.0000 0.0000 0.5000
5 Be 0.0000 0.5000 0.0000
6 Be 0.5000 0.0000 0.5000
7 Tl 0.1250 0.8750 0.2500
8 Tl 0.8750 0.1250 0.7500

# 29
CaBe2Tl: PBEsol geometry, SCAN.

Computed properties:
DFT formation energy: 0.43 eV per atom
total DFT energy (no corrections): -22.248 eV/atom
space-group type: P4/mmm, No. 123
theoretical density: 5.7 g/cm³

Cell lengths 3.4495, 3.4495, 6.4454 Å; angles 90.00, 90.00, 90.00 degrees
Fractional coordinates of all 4 atoms:
1 Ca 0.0000 0.0000 0.0000
2 Be 0.5000 0.5000 0.3085
3 Be 0.5000 0.5000 0.6915
4 Tl 0.0000 0.0000 0.5000

# 30
CaBeW2: PBEsol geometry, SCAN.

Computed properties:
DFT formation energy: 0.47 eV per atom
total DFT energy (no corrections): -37.875 eV/atom
space-group type: Pm, No. 6
theoretical density: 9.9 g/cm³

Cell lengths 3.1916, 3.1971, 6.8500 Å; angles 90.00, 91.37, 90.00 degrees
Fractional coordinates of all 4 atoms:
1 Ca 0.0000 0.0000 0.0000
2 Be 0.4863 0.5000 0.6885
3 W 0.5056 0.5000 0.3275
4 W 0.9768 0.0000 0.5235